VASP calculation (PBE) on a relaxed Er3Zr2Sc4 crystal.

Computed properties:
final energy	-6.182	eV per atom
E_form	0.053	eV per atom
magnetization	0.00	μB/cell

The structure in POSCAR format:
```
Er3Zr2Sc4
1.0
-3.725 2.403 1.389
-4.934 -4.817 2.869
-3.019 -5.954 9.972
Er Zr Sc
3 2 4
Cartesian
-5.781 -3.263 5.677
0.000 0.000 0.000
-5.897 -5.105 8.553
-8.787 -5.882 9.914
-2.891 -2.486 4.315
-8.754 -4.240 7.162
-2.924 -4.127 7.067
-5.950 -6.828 11.392
-5.728 -1.540 2.837
```